[1]
Below is a relaxed structure of SrAc2NpN4, with properties calculated at the PBE level. Values from VASP.

Calculated values
Space group: Cmcm, No. 63
V: 20.82 A^3/atom
Final energy: -7.85 eV/atom
Formation energy from raw total energies: -0.836 eV/atom

The structure in Quantum ESPRESSO input format:
```
&SYSTEM
  ibrav = 0, nat = 16, ntyp = 4
/
ATOMIC_SPECIES
N 14.01 N.upf
Np 237.00 Np.upf
Ac 227.00 Ac.upf
Sr 87.62 Sr.upf
CELL_PARAMETERS angstrom
3.820 0.000 0.000
-1.910 6.536 0.000
0.000 0.000 13.343
ATOMIC_POSITIONS crystal
N 0.264 0.527 0.371
N 0.736 0.473 0.871
N 0.432 0.864 0.750
N 0.736 0.473 0.629
N 0.000 0.000 0.000
N 0.264 0.527 0.129
N 0.000 0.000 0.500
N 0.568 0.136 0.250
Np 0.159 0.317 0.250
Np 0.841 0.683 0.750
Ac 0.628 0.257 0.468
Ac 0.372 0.743 0.968
Ac 0.628 0.257 0.032
Ac 0.372 0.743 0.532
Sr 0.888 0.776 0.250
Sr 0.112 0.224 0.750
```

[2]
Below is a relaxed structure of Er2Al12Au7, with properties calculated at the PBE level. Values from VASP.

Calculated values
Space group: P-3, No. 147
V: 18.42 A^3/atom
E_form: -497 meV per atom
Final energy: -4.16 eV/atom

The structure in Quantum ESPRESSO input format:
```
&SYSTEM
  ibrav = 0, nat = 21, ntyp = 3
/
ATOMIC_SPECIES
Al 26.98 Al.upf
Au 196.97 Au.upf
Er 167.26 Er.upf
CELL_PARAMETERS angstrom
4.036 0.000 0.000
0.000 9.111 -5.260
0.000 0.000 10.521
ATOMIC_POSITIONS crystal
Al 0.259 0.734 0.844
Al 0.741 0.266 0.156
Al 0.259 0.110 0.266
Al 0.749 0.566 0.614
Al 0.741 0.890 0.734
Al 0.251 0.434 0.386
Al 0.251 0.951 0.566
Al 0.749 0.386 0.951
Al 0.251 0.614 0.049
Al 0.741 0.844 0.110
Al 0.749 0.049 0.434
Al 0.259 0.156 0.890
Au 0.238 0.870 0.288
Au 0.762 0.582 0.870
Au 0.762 0.130 0.712
Au 0.500 0.000 0.000
Au 0.762 0.288 0.418
Au 0.238 0.418 0.130
Au 0.238 0.712 0.582
Er 0.734 0.667 0.333
Er 0.266 0.333 0.667
```

[3]
Below is a relaxed structure of Na4Tl3Pb, with properties calculated at the PBE level. Values from VASP.

Calculated values
Space group: C2/m, No. 12
V: 28.40 A^3/atom
E_form: -99 meV per atom
E above lowest polymorph: 0.0 meV/atom
Final energy: -2.11 eV/atom

The structure in Quantum ESPRESSO input format:
```
&SYSTEM
  ibrav = 0, nat = 8, ntyp = 3
/
ATOMIC_SPECIES
Na 22.99 Na.upf
Tl 204.38 Tl.upf
Pb 207.20 Pb.upf
CELL_PARAMETERS angstrom
4.883 0.000 -1.318
-0.345 4.867 -1.280
-0.032 -0.047 9.584
ATOMIC_POSITIONS crystal
Na 0.875 0.875 0.751
Na 0.625 0.625 0.249
Na 0.375 0.375 0.751
Na 0.125 0.125 0.249
Tl 0.251 0.750 0.502
Tl 0.000 0.500 0.000
Tl 0.749 0.250 0.498
Pb 0.500 0.000 0.000
```